No. 1
Crystalline Rb2Np3CoO12 at its relaxed geometry. Source: the Alexandria database, functional GGA+U.

Computed properties:
**Fermi-level density of states**: 10.4 states/eV/cell
**SG**: R-3m
**Energy**: -8.184 eV/atom

Cell: 7.312 7.312 7.312 Å, 64.54 64.54 64.54°
Sites, in units of the cell vectors:
Rb: 0.129 0.129 0.129
Rb: 0.871 0.871 0.871
Np: 0.000 0.500 0.500
Np: 0.500 0.000 0.500
Np: 0.500 0.500 0.000
Co: 0.500 0.500 0.500
O: 0.172 0.172 0.559
O: 0.172 0.559 0.172
O: 0.204 0.555 0.555
O: 0.441 0.828 0.828
O: 0.445 0.445 0.796
O: 0.445 0.796 0.445
O: 0.555 0.204 0.555
O: 0.555 0.555 0.204
O: 0.559 0.172 0.172
O: 0.796 0.445 0.445
O: 0.828 0.441 0.828
O: 0.828 0.828 0.441


No. 2
Crystalline RbNpCoO6 at its relaxed geometry. Source: the Alexandria database, functional GGA+U.

Computed properties:
**SG**: C2
**Energy**: -7.218 eV/atom

Cell: 5.207 5.207 6.439 Å, 90.17 90.17 119.48°
Sites, in units of the cell vectors:
Rb: 0.000 0.000 0.000
Np: 0.666 0.334 0.500
Co: 0.329 0.671 0.500
O: 0.014 0.383 0.666
O: 0.022 0.635 0.332
O: 0.365 0.978 0.668
O: 0.374 0.391 0.331
O: 0.609 0.626 0.669
O: 0.617 0.986 0.334


No. 3
Crystalline NpCo2RhO8 at its relaxed geometry. Source: the Alexandria database, functional GGA+U.

Computed properties:
**Fermi-level density of states**: 3.5 states/eV/cell
**SG**: I-4m2
**Energy**: -7.018 eV/atom

Cell: 5.803 5.803 5.803 Å, 111.72 111.72 105.06°
Sites, in units of the cell vectors:
Np: 0.000 0.000 0.000
Co: 0.500 0.500 0.000
Co: 0.750 0.250 0.500
Rh: 0.250 0.750 0.500
O: 0.303 0.102 0.799
O: 0.303 0.504 0.201
O: 0.356 0.062 0.294
O: 0.496 0.697 0.799
O: 0.768 0.062 0.706
O: 0.898 0.697 0.201
O: 0.938 0.232 0.294
O: 0.938 0.644 0.706


Number 1: volume 304.0 Å³ per cell. Number 2: volume 152.0 Å³ per cell. Number 3: volume 149.8 Å³ per cell.